Density functional theory data (GGA-PBE) for a relaxed NbReBr2 crystal.

ΔE_f (raw) = 663 meV/atom
Symmetry = R-3m (166)
Total magnetization = 0.00 μB/f.u.
Energy above the most stable polymorph in this dataset = 0.0 meV/atom
Calculated volume = 75.4 Å³ per cell

Cell lengths 9.0428, 9.0428, 9.0428 Å; angles 19.96, 19.96, 19.96 degrees
Element x y z (fractional)
1 Br 0.9077 0.9077 0.9077
2 Br 0.0923 0.0923 0.0923
3 Re 0.0000 0.0000 0.0000
4 Nb 0.5000 0.5000 0.5000